Entry 1:
{
  "formula": "Dy5Er4Al",
  "functional": "GGA-PBE",
  "state": "relaxed",
  "mass_density_g_cm3": 8.46,
  "space_group": "P4/mmm, No. 123",
  "formation_energy_mev_per_atom": -59.3,
  "lattice": [[3.5173, 0.0000, 0.0000], [0.0000, 3.5173, 0.0000], [0.0000, 0.0000, 23.9214]],
  "species": ["Dy", "Dy", "Al", "Dy", "Er", "Er", "Er", "Dy", "Er", "Dy"],
  "fractional_positions": [[0.5000, 0.5000, 0.0799], [0.5000, 0.5000, 0.7095], [0.0000, 0.0000, 0.0000], [0.5000, 0.5000, 0.2905], [0.0000, 0.0000, 0.6045], [0.0000, 0.0000, 0.1868], [0.0000, 0.0000, 0.8132], [0.5000, 0.5000, 0.9201], [0.0000, 0.0000, 0.3955], [0.5000, 0.5000, 0.5000]]
}

***

Entry 2:
{
  "formula": "Zr12Ga6Tc",
  "functional": "GGA-PBE",
  "state": "relaxed",
  "mass_density_g_cm3": 6.17,
  "space_group": "R-3, No. 148",
  "formation_energy_mev_per_atom": -20.0,
  "lattice": [[-0.6731, 7.6346, -0.3242], [-7.3093, -1.8783, -1.3752], [0.0121, -0.8507, 7.6237]],
  "species": ["Zr", "Ga", "Zr", "Ga", "Zr", "Tc", "Zr", "Zr", "Zr", "Ga", "Zr", "Zr", "Zr", "Zr", "Ga", "Ga", "Zr", "Ga", "Zr"],
  "fractional_positions": [[0.5768, 0.4542, 0.8039], [0.3398, 0.6875, 0.8752], [0.3335, 0.0722, 0.0096], [0.1248, 0.6602, 0.3125], [0.8039, 0.5768, 0.4542], [0.0000, 0.0000, 0.0000], [0.0722, 0.0096, 0.3335], [0.9278, 0.9904, 0.6665], [0.4542, 0.8039, 0.5768], [0.6875, 0.8752, 0.3398], [0.9904, 0.6665, 0.9278], [0.5458, 0.1961, 0.4232], [0.6665, 0.9278, 0.9904], [0.4232, 0.5458, 0.1961], [0.3125, 0.1248, 0.6602], [0.6602, 0.3125, 0.1248], [0.0096, 0.3335, 0.0722], [0.8752, 0.3398, 0.6875], [0.1961, 0.4232, 0.5458]]
}

***

Entry 3:
{
  "formula": "Ag2PtF8",
  "functional": "GGA-PBE",
  "state": "relaxed",
  "raw_formation_energy_ev_per_atom": -1.001,
  "mass_density_g_cm3": 5.40,
  "space_group": "C2/m, No. 12",
  "de_polymorph_ev_per_fu": 2.34,
  "lattice": [[5.1971, -0.0907, -0.1362], [-0.9722, 6.4185, -0.7730], [-0.9722, -3.1855, 5.6257]],
  "species": ["F", "F", "F", "Ag", "Ag", "F", "F", "F", "Pt", "F", "F"],
  "fractional_positions": [[0.5000, 0.8375, 0.1625], [0.8405, 0.5874, 0.9205], [0.1595, 0.0795, 0.4126], [0.0000, 0.6721, 0.3279], [0.0000, 0.3279, 0.6721], [0.5000, 0.1625, 0.8375], [0.2571, 0.6725, 0.6725], [0.1595, 0.4126, 0.0795], [0.5000, 0.0000, 0.0000], [0.7429, 0.3275, 0.3275], [0.8405, 0.9205, 0.5874]]
}

***

Entry 4:
{
  "formula": "CoHS2",
  "functional": "GGA-PBE",
  "state": "relaxed",
  "mass_density_g_cm3": 3.48,
  "space_group": "P2_1/m, No. 11",
  "de_polymorph_ev_per_fu": 0.00,
  "lattice": [[-2.4728, -0.5369, -2.2681], [3.8451, 1.0185, -4.4333], [0.1503, -6.0040, 1.2574]],
  "species": ["S", "Co", "H", "S", "H", "Co", "S", "S"],
  "fractional_positions": [[0.2500, 0.3564, 0.3167], [0.2500, 0.7584, 0.4982], [0.2500, 0.2670, 0.0783], [0.7500, 0.8612, 0.3067], [0.7500, 0.7330, 0.9217], [0.7500, 0.2416, 0.5018], [0.2500, 0.1388, 0.6933], [0.7500, 0.6436, 0.6833]]
}

***

Entry 5:
{
  "formula": "YMn2Al",
  "functional": "GGA-PBE",
  "state": "relaxed",
  "mass_density_g_cm3": 5.43,
  "space_group": "P4/mmm, No. 123",
  "formation_energy_mev_per_atom": 107.8,
  "lattice": [[-0.6154, -2.3812, -3.4514], [3.7615, 1.2262, -1.5167], [1.6801, -2.9808, 1.7569]],
  "species": ["Mn", "Al", "Mn", "Y"],
  "fractional_positions": [[0.5000, 0.5000, 0.0000], [0.0000, 0.5000, 0.5000], [0.0000, 0.0000, 0.0000], [0.5000, 0.0000, 0.5000]]
}

***

Entry 6:
{
  "formula": "CsOF3",
  "functional": "GGA-PBE",
  "state": "relaxed",
  "raw_formation_energy_ev_per_atom": -1.215,
  "mass_density_g_cm3": 3.22,
  "space_group": "P1, No. 1",
  "de_polymorph_ev_per_fu": 0.02,
  "lattice": [[-1.3846, -1.7355, -6.0894], [4.9730, -0.4907, -3.6001], [0.8074, -5.7389, 0.7674]],
  "species": ["Cs", "F", "O", "F", "F", "Cs", "F", "F", "O", "F"],
  "fractional_positions": [[0.8161, 0.7561, 0.8819], [0.2372, 0.2741, 0.8665], [0.4912, 0.3588, 0.7908], [0.9537, 0.6999, 0.3756], [0.7374, 0.9915, 0.3448], [0.1204, 0.1645, 0.3715], [0.3315, 0.7899, 0.7698], [0.8075, 0.2682, 0.8096], [0.4340, 0.5207, 0.6456], [0.5453, 0.2727, 0.3050]]
}

***

Entry 7:
{
  "formula": "RbLiAc2O4",
  "functional": "GGA-PBE",
  "state": "relaxed",
  "raw_formation_energy_ev_per_atom": -2.630,
  "mass_density_g_cm3": 6.57,
  "space_group": "Cmcm, No. 63",
  "lattice": [[-1.5237, 3.3173, 1.2293], [1.6948, -3.4934, 5.4929], [11.2710, 5.2325, -0.1498]],
  "species": ["Ac", "O", "O", "Ac", "O", "O", "O", "Ac", "Li", "Rb", "Li", "Rb", "O", "O", "O", "Ac"],
  "fractional_positions": [[0.6321, 0.2641, 0.4424], [0.7523, 0.5046, 0.8960], [0.0000, 0.0000, 0.0000], [0.6321, 0.2641, 0.0576], [0.2477, 0.4954, 0.1040], [0.2477, 0.4954, 0.3960], [0.7523, 0.5046, 0.6040], [0.3679, 0.7359, 0.5576], [0.8146, 0.6293, 0.7500], [0.0978, 0.1956, 0.7500], [0.1854, 0.3707, 0.2500], [0.9022, 0.8044, 0.2500], [0.6027, 0.2054, 0.2500], [0.0000, 0.0000, 0.5000], [0.3973, 0.7946, 0.7500], [0.3679, 0.7359, 0.9424]]
}

***

Entry 8:
{
  "formula": "NdHo2CdN",
  "functional": "GGA-PBE",
  "state": "relaxed",
  "raw_formation_energy_ev_per_atom": -0.799,
  "mass_density_g_cm3": 8.55,
  "space_group": "P4/mmm, No. 123",
  "lattice": [[5.0518, 0.0000, 0.0000], [0.0000, 4.8041, 0.0000], [0.0000, 0.0000, 4.8041]],
  "species": ["Ho", "N", "Cd", "Ho", "Nd"],
  "fractional_positions": [[0.0000, 0.5000, 0.0000], [0.0000, 0.0000, 0.0000], [0.5000, 0.5000, 0.5000], [0.0000, 0.0000, 0.5000], [0.5000, 0.0000, 0.0000]]
}

***

no.,total moment (μB per formula unit)
1,0.00
2,0.00
3,0.79
4,0.00
5,5.11
6,0.00
7,0.00
8,0.00